Material: Mg2Ni6GeH
Method: DFT, PBE
State: relaxed

Results
The calculation puts the magnetic moment at 0.0 μB/cell. The total energy is -47.425 eV for the cell shown.

Cell lengths 5.0968, 5.0968, 6.2575 Å; angles 114.07, 114.07, 60.11 degrees
Atoms (fractional coordinates):
Mg 0.2187 0.2187 0.1546
Mg 0.7813 0.7813 0.8454
Ni 0.2264 0.2264 0.6769
Ni 0.2266 0.7187 0.6736
Ni 0.2813 0.7734 0.3264
Ni 0.7187 0.2266 0.6736
Ni 0.7734 0.2813 0.3264
Ni 0.7736 0.7736 0.3231
Ge 0.5000 0.5000 0.0000
H 0.0000 0.0000 0.5000